No. 1
A relaxed structure of Hf2HgO, computed with PBE-GGA.

## Properties
The spin magnetization comes out at 0.00 μB per formula unit. The crystal system is trigonal. The density of states at the Fermi level is 0.48 states/eV per atom. The value obtained for the raw formation energy is -1161.0 meV per atom. For the uncorrected energy, the calculation gives -7.45 eV per atom. Its distance to the lowest polymorph of the same formula is 0.02 eV/f.u.

abc: 3.3323 3.3323 7.3636
angles: 76.92 76.92 60.00
Element x y z (fractional)
Hf  0.0560  0.0560  0.8321
Hf  0.2764  0.2764  0.1709
Hg  0.4998  0.4998  0.5006
O  0.6679  0.6679  0.9963

=====

No. 2
A relaxed structure of HfHgO2, computed with PBE-GGA.

## Properties
The spin magnetization comes out at 0.00 μB per formula unit. The crystal system is trigonal. The density of states at the Fermi level is 0.18 states/eV per atom. The value obtained for the raw formation energy is -983.6 meV per atom. For the uncorrected energy, the calculation gives -6.03 eV per atom.

abc: 6.8841 6.8841 6.8841
angles: 28.90 28.90 28.90
Element x y z (fractional)
Hf  0.0000  0.0000  0.0000
Hg  0.5000  0.5000  0.5000
O  0.9006  0.9006  0.9006
O  0.0994  0.0994  0.0994

=====

No. 3
A relaxed structure of Hf2HgO, computed with PBE-GGA.

## Properties
The spin magnetization comes out at 0.00 μB per formula unit. The crystal system is tetragonal. The density of states at the Fermi level is 0.49 states/eV per atom. The value obtained for the raw formation energy is -922.4 meV per atom. For the uncorrected energy, the calculation gives -7.21 eV per atom. Its distance to the lowest polymorph of the same formula is 0.97 eV/f.u.

abc: 5.4584 5.4584 6.8667
angles: 66.58 66.58 90.00
Element x y z (fractional)
Hf  0.5034  0.1250  0.2500
Hf  0.2466  0.6250  0.2500
Hf  0.3750  0.4966  0.7500
Hf  0.8750  0.7534  0.7500
Hg  0.0000  0.0000  0.0000
Hg  0.7500  0.2500  0.5000
O  0.5000  0.5000  0.0000
O  0.2500  0.7500  0.5000

=====

- Which value of spin magnetization does entry 1 give?
  0.00 μB per formula unit

=====

- Look up the raw formation energy of the second one.
  -983.6 meV per atom

=====

- uncorrected energy of number 1 (Hf2HgO)?
  -7.45 eV per atom

=====

- Among the records above, which one has the highest raw formation energy?
  number 3